Density functional theory data (PBE) for a relaxed LaGa crystal.

Cell and atoms, written as CIF:
```
data_LaGa
_chemical_formula_sum 'La2 Ga2'
_space_group_name_H-M_alt 'P 63/m m c'
_space_group_IT_number 194
_space_group_name_Hall '-P 6c 2c'
_cell_length_a 5.4206
_cell_length_b 5.4206
_cell_length_c 5.9869
_cell_angle_alpha 90.00
_cell_angle_beta 90.00
_cell_angle_gamma 120.00
loop_
_atom_site_label
_atom_site_type_symbol
_atom_site_fract_x
_atom_site_fract_y
_atom_site_fract_z
La1 La 0.3333 0.6667 0.2500
Ga1 Ga 0.3333 0.6667 0.7500
```

Calculated formation energy (meV per atom): 123
DOS(E_F) (states/eV/f.u.): 4.6

Density functional theory data (PBE) for a relaxed La7Ga3 crystal.

Cell and atoms, written as CIF:
```
data_La7Ga3
_chemical_formula_sum 'La14 Ga6'
_space_group_name_H-M_alt 'P 63 m c'
_space_group_IT_number 186
_space_group_name_Hall 'P 6c -2c'
_cell_length_a 10.7279
_cell_length_b 10.7279
_cell_length_c 6.3828
_cell_angle_alpha 90.00
_cell_angle_beta 90.00
_cell_angle_gamma 120.00
loop_
_atom_site_label
_atom_site_type_symbol
_atom_site_fract_x
_atom_site_fract_y
_atom_site_fract_z
La1 La 0.0700 0.5350 0.0000
La2 La 0.1241 0.2482 0.2167
La3 La 0.3333 0.6667 0.4531
Ga1 Ga 0.1905 0.3810 0.6968
```

Calculated formation energy (meV per atom): -344
DOS(E_F) (states/eV/f.u.): 14.7

Density functional theory data (PBE) for a relaxed La5Ga2 crystal.

Cell and atoms, written as CIF:
```
data_La5Ga2
_chemical_formula_sum 'La20 Ga8'
_space_group_name_H-M_alt 'C 1 2/c 1'
_space_group_IT_number 15
_space_group_name_Hall '-C 2yc'
_cell_length_a 16.608
_cell_length_b 6.516
_cell_length_c 8.469
_cell_angle_alpha 90.00
_cell_angle_beta 97.91
_cell_angle_gamma 90.00
loop_
_atom_site_label
_atom_site_type_symbol
_atom_site_fract_x
_atom_site_fract_y
_atom_site_fract_z
La1 La 0.000 0.123 0.250
La2 La 0.093 0.368 0.926
La3 La 0.221 0.112 0.313
Ga1 Ga 0.104 0.186 0.584
```

Calculated formation energy (meV per atom): -321
DOS(E_F) (states/eV/f.u.): 9.6

Density functional theory data (PBE) for a relaxed La5Ga2 crystal.

Cell and atoms, written as CIF:
```
data_La5Ga2
_chemical_formula_sum 'La20 Ga8'
_space_group_name_H-M_alt 'I b a m'
_space_group_IT_number 72
_space_group_name_Hall '-I 2 2c'
_cell_length_a 8.139
_cell_length_b 15.339
_cell_length_c 6.812
_cell_angle_alpha 90.00
_cell_angle_beta 90.00
_cell_angle_gamma 90.00
loop_
_atom_site_label
_atom_site_type_symbol
_atom_site_fract_x
_atom_site_fract_y
_atom_site_fract_z
La1 La 0.000 0.000 0.250
La2 La 0.000 0.240 0.250
La3 La 0.158 0.422 0.000
Ga1 Ga 0.233 0.375 0.500
```

Calculated formation energy (meV per atom): -333
DOS(E_F) (states/eV/f.u.): 8.2

Density functional theory data (PBE) for a relaxed La3Ga crystal.

Cell and atoms, written as CIF:
```
data_La3Ga
_chemical_formula_sum 'La6 Ga2'
_space_group_name_H-M_alt 'I m m 2'
_space_group_IT_number 44
_space_group_name_Hall 'I 2 -2'
_cell_length_a 3.786
_cell_length_b 11.601
_cell_length_c 5.750
_cell_angle_alpha 90.00
_cell_angle_beta 90.00
_cell_angle_gamma 90.00
loop_
_atom_site_label
_atom_site_type_symbol
_atom_site_fract_x
_atom_site_fract_y
_atom_site_fract_z
La1 La 0.000 0.000 0.000
La2 La 0.000 0.211 0.414
Ga1 Ga 0.000 0.500 0.040
```

Calculated formation energy (meV per atom): -269
DOS(E_F) (states/eV/f.u.): 5.0

Density functional theory data (PBE) for a relaxed La3Ga crystal.

Cell and atoms, written as CIF:
```
data_La3Ga
_chemical_formula_sum 'La3 Ga1'
_space_group_name_H-M_alt 'P m m 2'
_space_group_IT_number 25
_space_group_name_Hall 'P 2 -2'
_cell_length_a 3.531
_cell_length_b 3.617
_cell_length_c 10.533
_cell_angle_alpha 90.00
_cell_angle_beta 90.00
_cell_angle_gamma 90.00
loop_
_atom_site_label
_atom_site_type_symbol
_atom_site_fract_x
_atom_site_fract_y
_atom_site_fract_z
La1 La 0.000 0.000 0.000
La2 La 0.000 0.500 0.423
La3 La 0.500 0.500 0.730
Ga1 Ga 0.500 0.000 0.244
```

Calculated formation energy (meV per atom): -53
DOS(E_F) (states/eV/f.u.): 5.1

Density functional theory data (PBE) for a relaxed La5Ga crystal.

Cell and atoms, written as CIF:
```
data_La5Ga
_chemical_formula_sum 'La10 Ga2'
_space_group_name_H-M_alt 'C 1 m 1'
_space_group_IT_number 8
_space_group_name_Hall 'C -2y'
_cell_length_a 12.606
_cell_length_b 3.873
_cell_length_c 9.002
_cell_angle_alpha 90.00
_cell_angle_beta 112.34
_cell_angle_gamma 90.00
loop_
_atom_site_label
_atom_site_type_symbol
_atom_site_fract_x
_atom_site_fract_y
_atom_site_fract_z
La1 La 0.000 0.000 0.000
La2 La 0.020 0.000 0.432
La3 La 0.161 0.500 0.793
La4 La 0.303 0.000 0.153
La5 La 0.325 0.000 0.588
Ga1 Ga 0.163 0.500 0.294
```

Calculated formation energy (meV per atom): -171
DOS(E_F) (states/eV/f.u.): 8.4

Density functional theory data (PBE) for a relaxed La3Ga crystal.

Cell and atoms, written as CIF:
```
data_La3Ga
_chemical_formula_sum 'La6 Ga2'
_space_group_name_H-M_alt 'I 4/m m m'
_space_group_IT_number 139
_space_group_name_Hall '-I 4 2'
_cell_length_a 4.851
_cell_length_b 4.851
_cell_length_c 10.171
_cell_angle_alpha 90.00
_cell_angle_beta 90.00
_cell_angle_gamma 90.00
loop_
_atom_site_label
_atom_site_type_symbol
_atom_site_fract_x
_atom_site_fract_y
_atom_site_fract_z
La1 La 0.000 0.000 0.000
La2 La 0.000 0.500 0.250
Ga1 Ga 0.000 0.000 0.500
```

Calculated formation energy (meV per atom): -251
DOS(E_F) (states/eV/f.u.): 5.1

Density functional theory data (PBE) for a relaxed LaGa crystal.

Cell and atoms, written as CIF:
```
data_LaGa
_chemical_formula_sum 'La4 Ga4'
_space_group_name_H-M_alt 'P 42/m n m'
_space_group_IT_number 136
_space_group_name_Hall '-P 4n 2n'
_cell_length_a 6.057
_cell_length_b 6.057
_cell_length_c 6.330
_cell_angle_alpha 90.00
_cell_angle_beta 90.00
_cell_angle_gamma 90.00
loop_
_atom_site_label
_atom_site_type_symbol
_atom_site_fract_x
_atom_site_fract_y
_atom_site_fract_z
La1 La 0.181 0.181 0.000
Ga1 Ga 0.162 0.162 0.500
```

Calculated formation energy (meV per atom): -359
DOS(E_F) (states/eV/f.u.): 2.4

Density functional theory data (PBE) for a relaxed LaGa crystal.

Cell and atoms, written as CIF:
```
data_LaGa
_chemical_formula_sum 'La8 Ga8'
_space_group_name_H-M_alt 'P 21 21 21'
_space_group_IT_number 19
_space_group_name_Hall 'P 2ac 2ab'
_cell_length_a 5.972
_cell_length_b 6.165
_cell_length_c 11.635
_cell_angle_alpha 90.00
_cell_angle_beta 90.00
_cell_angle_gamma 90.00
loop_
_atom_site_label
_atom_site_type_symbol
_atom_site_fract_x
_atom_site_fract_y
_atom_site_fract_z
La1 La 0.123 0.067 0.482
La2 La 0.148 0.685 0.681
Ga1 Ga 0.136 0.565 0.401
Ga2 Ga 0.161 0.822 0.219
```

Calculated formation energy (meV per atom): -569
DOS(E_F) (states/eV/f.u.): 1.3

Density functional theory data (PBE) for a relaxed LaGa5 crystal.

Cell and atoms, written as CIF:
```
data_LaGa5
_chemical_formula_sum 'La2 Ga10'
_space_group_name_H-M_alt 'C m m m'
_space_group_IT_number 65
_space_group_name_Hall '-C 2 2'
_cell_length_a 4.444
_cell_length_b 12.407
_cell_length_c 4.551
_cell_angle_alpha 90.00
_cell_angle_beta 90.00
_cell_angle_gamma 90.00
loop_
_atom_site_label
_atom_site_type_symbol
_atom_site_fract_x
_atom_site_fract_y
_atom_site_fract_z
La1 La 0.000 0.000 0.000
Ga1 Ga 0.000 0.176 0.500
Ga2 Ga 0.000 0.313 0.000
Ga3 Ga 0.000 0.500 0.500
```

Calculated formation energy (meV per atom): -330
DOS(E_F) (states/eV/f.u.): 2.3

Density functional theory data (PBE) for a relaxed LaGa5 crystal.

Cell and atoms, written as CIF:
```
data_LaGa5
_chemical_formula_sum 'La2 Ga10'
_space_group_name_H-M_alt 'I m m m'
_space_group_IT_number 71
_space_group_name_Hall '-I 2 2'
_cell_length_a 4.487
_cell_length_b 6.774
_cell_length_c 8.336
_cell_angle_alpha 90.00
_cell_angle_beta 90.00
_cell_angle_gamma 90.00
loop_
_atom_site_label
_atom_site_type_symbol
_atom_site_fract_x
_atom_site_fract_y
_atom_site_fract_z
La1 La 0.000 0.000 0.000
Ga1 Ga 0.000 0.201 0.339
Ga2 Ga 0.000 0.500 0.000
```

Calculated formation energy (meV per atom): -367
DOS(E_F) (states/eV/f.u.): 1.8

> Among the records above, which one has the highest calculated formation energy?

number 1

Please write out number 3 again, unchanged.
Density functional theory data (PBE) for a relaxed La5Ga2 crystal.

Cell and atoms, written as CIF:
```
data_La5Ga2
_chemical_formula_sum 'La20 Ga8'
_space_group_name_H-M_alt 'C 1 2/c 1'
_space_group_IT_number 15
_space_group_name_Hall '-C 2yc'
_cell_length_a 16.608
_cell_length_b 6.516
_cell_length_c 8.469
_cell_angle_alpha 90.00
_cell_angle_beta 97.91
_cell_angle_gamma 90.00
loop_
_atom_site_label
_atom_site_type_symbol
_atom_site_fract_x
_atom_site_fract_y
_atom_site_fract_z
La1 La 0.000 0.123 0.250
La2 La 0.093 0.368 0.926
La3 La 0.221 0.112 0.313
Ga1 Ga 0.104 0.186 0.584
```

Calculated formation energy (meV per atom): -321
DOS(E_F) (states/eV/f.u.): 9.6

> Look up the DOS(E_F) of the tenth one.

1.3 states/eV/f.u.

> Which of these has the highest calculated formation energy?

number 1